1.
First-principles (SCAN) data for a PBEsol-optimized structure of AlInSb2, as listed in Alexandria.

The energy above the most stable polymorph in this dataset is 0.03 eV per formula unit. The uncorrected energy comes out at -29.09 eV/atom. The uncorrected formation energy comes out at -0.1743 eV per atom.

It has space group P-4m2 (No. 115), with a = 4.479 Å, b = 4.479 Å, c = 6.333 Å, α = 90.00°, β = 90.00° and γ = 90.00°. The asymmetric unit holds Al at (0.000, 0.000, 0.000), In at (0.500, 0.500, 0.500) and Sb at (0.000, 0.500, 0.234).

2.
First-principles (SCAN) data for a PBEsol-optimized structure of AlInSb2, as listed in Alexandria.

The energy above the most stable polymorph in this dataset is 1.26 eV per formula unit. The uncorrected energy comes out at -28.78 eV/atom. The uncorrected formation energy comes out at 0.1325 eV per atom.

It has space group Imm2 (No. 44), with a = 3.965 Å, b = 4.115 Å, c = 12.360 Å, α = 90.00°, β = 90.00° and γ = 90.00°. The asymmetric unit holds Al at (0.000, 0.000, 0.000), In at (0.000, 0.500, 0.736), Sb at (0.000, 0.000, 0.550) and Sb at (0.000, 0.500, 0.331).

3.
First-principles (SCAN) data for a PBEsol-optimized structure of Sc2Al2In, as listed in Alexandria.

The uncorrected energy comes out at -15.91 eV/atom. The formation energy from the elements comes out at -0.4408 eV per atom.

It has space group P4/mbm (No. 127), with a = 7.611 Å, b = 7.611 Å, c = 3.397 Å, α = 90.00°, β = 90.00° and γ = 90.00°. The asymmetric unit holds Sc at (0.178, 0.322, 0.000), Al at (0.119, 0.619, 0.500) and In at (0.000, 0.000, 0.500).

4.
First-principles (SCAN) data for a PBEsol-optimized structure of AlInSe2, as listed in Alexandria.

The uncorrected energy comes out at -20.77 eV/atom. The uncorrected formation energy comes out at -0.4475 eV per atom.

It has space group Cm (No. 8), with a = 14.469 Å, b = 3.517 Å, c = 4.258 Å, α = 90.00°, β = 100.68° and γ = 90.00°. The asymmetric unit holds Al at (0.000, 0.000, 0.000), In at (0.269, 0.500, 0.496), Se at (0.106, 0.500, 0.900) and Se at (0.389, 0.000, 0.093).

5.
First-principles (SCAN) data for a PBEsol-optimized structure of AlInSe2, as listed in Alexandria.

The uncorrected energy comes out at -21.01 eV/atom. The uncorrected formation energy comes out at -0.6835 eV per atom.

It has space group I-42d (No. 122), with a = 7.216 Å, b = 7.216 Å, c = 8.039 Å, α = 90.00°, β = 90.00° and γ = 90.00°. The asymmetric unit holds Al at (0.000, 0.000, 0.000), In at (0.000, 0.000, 0.500) and Se at (0.170, 0.750, 0.125).

6.
First-principles (SCAN) data for a PBEsol-optimized structure of AlInSe2, as listed in Alexandria.

The uncorrected energy comes out at -20.04 eV/atom. The uncorrected formation energy comes out at 0.2884 eV per atom.

It has space group F-43m (No. 216), with a = 6.959 Å, b = 6.959 Å, c = 6.959 Å, α = 90.00°, β = 90.00° and γ = 90.00°. The asymmetric unit holds Al at (0.000, 0.000, 0.000), In at (0.250, 0.250, 0.250), Se at (0.000, 0.000, 0.500) and Se at (0.250, 0.250, 0.750).

7.
First-principles (SCAN) data for a PBEsol-optimized structure of AlIn2Se, as listed in Alexandria.

The uncorrected energy comes out at -23.59 eV/atom. The uncorrected formation energy comes out at 0.0583 eV per atom.

It has space group Cmmm (No. 65), with a = 6.453 Å, b = 7.583 Å, c = 3.663 Å, α = 90.00°, β = 90.00° and γ = 90.00°. The asymmetric unit holds Al at (0.000, 0.000, 0.000), In at (0.250, 0.250, 0.500) and Se at (0.000, 0.500, 0.000).

8.
First-principles (SCAN) data for a PBEsol-optimized structure of AlInSe2, as listed in Alexandria.

The uncorrected energy comes out at -20.98 eV/atom. The uncorrected formation energy comes out at -0.6576 eV per atom.

It has space group C2/m (No. 12), with a = 6.441 Å, b = 3.713 Å, c = 7.896 Å, α = 90.00°, β = 105.67° and γ = 90.00°. The asymmetric unit holds Al at (0.000, 0.000, 0.000), In at (0.000, 0.500, 0.500) and Se at (0.228, 0.500, 0.186).

9.
First-principles (SCAN) data for a PBEsol-optimized structure of AlInSe2, as listed in Alexandria.

The uncorrected energy comes out at -20.47 eV/atom. The uncorrected formation energy comes out at -0.1415 eV per atom.

It has space group I-4m2 (No. 119), with a = 3.813 Å, b = 3.813 Å, c = 13.235 Å, α = 90.00°, β = 90.00° and γ = 90.00°. The asymmetric unit holds Al at (0.000, 0.000, 0.000), In at (0.000, 0.500, 0.250), Se at (0.000, 0.000, 0.500) and Se at (0.000, 0.500, 0.750).

10.
First-principles (SCAN) data for a PBEsol-optimized structure of SrAlInSe2, as listed in Alexandria.

The uncorrected energy comes out at -20.89 eV/atom. The uncorrected formation energy comes out at -0.1784 eV per atom.

It has space group P4/mmm (No. 123), with a = 4.984 Å, b = 4.984 Å, c = 5.739 Å, α = 90.00°, β = 90.00° and γ = 90.00°. The asymmetric unit holds Sr at (0.000, 0.000, 0.000), Al at (0.000, 0.000, 0.500), In at (0.500, 0.500, 0.000) and Se at (0.000, 0.500, 0.500).

11.
First-principles (SCAN) data for a PBEsol-optimized structure of AlTlIn2Se, as listed in Alexandria.

The uncorrected energy comes out at -32.83 eV/atom. The uncorrected formation energy comes out at 0.5629 eV per atom.

It has space group P4/mmm (No. 123), with a = 5.295 Å, b = 5.295 Å, c = 5.895 Å, α = 90.00°, β = 90.00° and γ = 90.00°. The asymmetric unit holds Al at (0.000, 0.000, 0.000), Tl at (0.500, 0.500, 0.000), In at (0.000, 0.500, 0.500) and Se at (0.500, 0.500, 0.500).

12.
First-principles (SCAN) data for a PBEsol-optimized structure of AlInSi2, as listed in Alexandria.

The energy above the most stable polymorph in this dataset is 0.16 eV per formula unit. The uncorrected energy comes out at -14.90 eV/atom. The uncorrected formation energy comes out at 0.3940 eV per atom.

It has space group P4mm (No. 99), with a = 3.236 Å, b = 3.236 Å, c = 6.891 Å, α = 90.00°, β = 90.00° and γ = 90.00°. The asymmetric unit holds Al at (0.000, 0.000, 0.000), In at (0.500, 0.500, 0.307), Si at (0.000, 0.000, 0.616) and Si at (0.500, 0.500, 0.778).